{
  "formula": "NaCeGa2",
  "functional": "PBE",
  "state": "relaxed",
  "cell": [[5.3143, 0.0000, 0.0000], [0.0000, 5.3143, 0.0000], [0.0000, 0.0000, 3.3113]],
  "species": ["Na", "Ce", "Ga", "Ga"],
  "frac_coords": [[0.0000, 0.0000, 0.0000], [0.5000, 0.5000, 0.0000], [0.0000, 0.5000, 0.5000], [0.5000, 0.0000, 0.5000]],
  "e_above_lowest_polymorph_mev_per_atom": 30,
  "formation_energy_mev_per_atom": -229
}